Version w
Na3SiSb after structural relaxation. Source: Alexandria, functional GGA-PBE.

Crystal system ... cubic

Cell lengths 5.452, 5.452, 5.452 Å; angles 90.00, 90.00, 90.00 degrees
Space group Pm-3m (No. 221)
Unique sites:
Na: 0.000 0.000 0.500 (multiplicity 3)
Si: 0.000 0.000 0.000 (multiplicity 1)
Sb: 0.500 0.500 0.500 (multiplicity 1)

Version x
Na3SiSb after structural relaxation. Source: Alexandria, functional GGA-PBE.

Crystal system ... cubic

Cell lengths 5.862, 5.862, 5.862 Å; angles 90.00, 90.00, 90.00 degrees
Space group Pm-3m (No. 221)
Unique sites:
Na: 0.000 0.000 0.500 (multiplicity 3)
Si: 0.500 0.500 0.500 (multiplicity 1)
Sb: 0.000 0.000 0.000 (multiplicity 1)

What should be chosen as the least stable of them? Choose version x.

Version w
NaSi3Sb after structural relaxation. Source: Alexandria, functional GGA-PBE.

Crystal system ... cubic

Cell lengths 4.968, 4.968, 4.968 Å; angles 90.00, 90.00, 90.00 degrees
Space group Pm-3m (No. 221)
Unique sites:
Na: 0.000 0.000 0.000 (multiplicity 1)
Si: 0.000 0.000 0.500 (multiplicity 3)
Sb: 0.500 0.500 0.500 (multiplicity 1)

Version x
NaSi3Sb after structural relaxation. Source: Alexandria, functional GGA-PBE.

Crystal system ... cubic

Cell lengths 5.299, 5.299, 5.299 Å; angles 90.00, 90.00, 90.00 degrees
Space group Pm-3m (No. 221)
Unique sites:
Na: 0.000 0.000 0.000 (multiplicity 1)
Si: 0.000 0.500 0.500 (multiplicity 3)
Sb: 0.500 0.500 0.500 (multiplicity 1)

What should be chosen as the least stable of them? Choose version w.

Version w
Na2Si2Sb after structural relaxation. Source: Alexandria, functional GGA-PBE.

Crystal system ... tetragonal

Cell lengths 8.726, 8.726, 2.965 Å; angles 90.00, 90.00, 90.00 degrees
Space group P4/mbm (No. 127)
Unique sites:
Na: 0.200 0.300 0.000 (multiplicity 4)
Si: 0.093 0.593 0.500 (multiplicity 4)
Sb: 0.000 0.000 0.500 (multiplicity 2)

Version x
Na2Si2Sb after structural relaxation. Source: Alexandria, functional GGA-PBE.

Crystal system ... tetragonal

Cell lengths 4.337, 4.337, 12.504 Å; angles 90.00, 90.00, 90.00 degrees
Space group I4/mmm (No. 139)
Unique sites:
Na: 0.000 0.500 0.250 (multiplicity 4)
Si: 0.000 0.000 0.089 (multiplicity 4)
Sb: 0.000 0.000 0.500 (multiplicity 2)

What should be chosen as the least stable of them? Choose version x.

Version w
Na2SnSb3 after structural relaxation. Source: Alexandria, functional GGA-PBE.

Crystal system ... orthorhombic

Cell lengths 14.798, 8.484, 6.169 Å; angles 90.00, 90.00, 90.00 degrees
Space group Cmcm (No. 63)
Unique sites:
Na: 0.171 0.160 0.250 (multiplicity 8)
Sn: 0.000 0.323 0.750 (multiplicity 4)
Sb: 0.000 0.000 0.000 (multiplicity 4)
Sb: 0.152 0.500 0.000 (multiplicity 8)

Version x
Na2SnSb3 after structural relaxation. Source: Alexandria, functional GGA-PBE.

Crystal system ... orthorhombic

Cell lengths 14.831, 8.724, 6.220 Å; angles 90.00, 90.00, 90.00 degrees
Space group Cmcm (No. 63)
Unique sites:
Na: 0.179 0.172 0.250 (multiplicity 8)
Sn: 0.000 0.344 0.750 (multiplicity 4)
Sb: 0.000 0.014 0.750 (multiplicity 4)
Sb: 0.151 0.500 0.000 (multiplicity 8)

What should be chosen as the least stable of them? Choose version x.